A relaxed Dy6Zn2Pd crystal, computed with PBE.

Output
DFT formation energy, kJ/mol of atoms: -29.5
Calculated total energy, eV per atom: -4.234
Magnetic moment, μB/cell: 0.000
E above lowest polymorph, meV/atom: 0

Lattice parameters (Å, degrees): 9.553 9.639 10.033 90.00 90.00 90.00
Space group Immm (No. 71)
Unique sites:
Dy (0.000, 0.176, 0.218) x8
Dy (0.175, 0.500, 0.244) x8
Dy (0.191, 0.240, 0.500) x8
Zn (0.000, 0.373, 0.000) x4
Zn (0.137, 0.000, 0.000) x4
Pd (0.000, 0.000, 0.500) x2
Pd (0.000, 0.500, 0.500) x2